Entry 1:
The following is a DFT calculation (PBE-GGA) of a relaxed NaAgBi crystal.

Calculated values
Total energy in eV per cell: -8.29
Fermi-level density of states in states/eV per cell: 0.718
Crystal system: tetragonal

```
3
Lattice="-1.730 2.212 -2.855 -3.370 0.150 2.158 4.069 2.718 2.450" Properties=species:S:1:pos:R:3 pbc="T T T"
Ag 0.871 2.237 1.205
Na -2.189 2.107 0.151
Bi -1.199 4.648 1.520
```



Entry 2:
The following is a DFT calculation (PBE-GGA) of a relaxed CuPb2Au crystal.

Calculated values
Total energy in eV per cell: -27.40
Fermi-level density of states in states/eV per cell: 4.433
Crystal system: tetragonal

```
8
Lattice="-4.612 1.144 0.711 -1.071 -1.576 -4.410 -4.362 -8.395 1.443" Properties=species:S:1:pos:R:3 pbc="T T T"
Au 0.000 0.000 0.000
Pb -8.226 -6.648 -2.079
Pb -4.028 -1.600 0.242
Cu -2.842 -0.216 -1.850
Pb -5.421 -6.485 -0.380
Cu -4.138 -5.094 -2.409
Pb -2.415 -2.921 -2.295
Au -5.908 -3.734 0.152
```



Entry 3:
The following is a DFT calculation (PBE-GGA) of a relaxed Ni4BPb2 crystal.

Calculated values
Total energy in eV per cell: -36.97
Fermi-level density of states in states/eV per cell: 4.286
Crystal system: tetragonal

```
7
Lattice="3.935 0.000 0.000 0.000 3.935 0.000 1.968 1.968 6.816" Properties=species:S:1:pos:R:3 pbc="T T T"
Pb 1.968 1.968 2.184
Ni 1.968 0.000 0.000
Ni 1.968 1.968 4.941
Ni 0.000 1.968 0.000
Pb 3.935 3.935 4.631
B 0.000 0.000 0.000
Ni 3.935 3.935 1.874
```